(1)
A plane-wave DFT calculation with PBE-GGA was carried out for a geometry-optimized PaSnBi structure.

POSCAR file:
```
PaSnBi
1.0
1.6407 -9.8393 0.0000
1.6407 9.8393 0.0000
0.0000 0.0000 5.1477
Pa Sn Bi
2 2 2
direct
0.0411 0.9589 0.7500
0.9589 0.0411 0.2500
0.3952 0.6048 0.7500
0.6048 0.3952 0.2500
0.2129 0.7871 0.7500
0.7871 0.2129 0.2500
```

E_tot in eV per atom: -5.721
Formation enthalpy at 0 K in meV per atom: 72
Distance to the lowest polymorph of the same formula in meV per atom: 339
SG: No. 63
Crystal system: orthorhombic



(2)
A plane-wave DFT calculation with PBE-GGA was carried out for a geometry-optimized Pa2SnBi4 structure.

POSCAR file:
```
Pa2SnBi4
1.0
4.2524 -5.1435 0.0000
4.2524 5.1435 0.0000
0.0000 0.0000 4.8311
Pa Sn Bi
2 1 4
direct
0.2110 0.7890 0.0000
0.7890 0.2110 0.0000
0.0000 0.0000 0.5000
0.0000 0.5000 0.5000
0.2990 0.2990 0.0000
0.5000 0.0000 0.5000
0.7010 0.7010 0.0000
```

E_tot in eV per atom: -5.661
Formation enthalpy at 0 K in meV per atom: -158
SG: No. 65
Crystal system: orthorhombic



(3)
A plane-wave DFT calculation with PBE-GGA was carried out for a geometry-optimized Pa2SnBi3 structure.

POSCAR file:
```
Pa2SnBi3
1.0
4.4280 0.0000 0.0000
0.0000 4.4280 0.0000
0.0000 0.0000 8.9685
Pa Sn Bi
2 1 3
direct
0.0000 0.5000 0.2229
0.5000 0.0000 0.7771
0.0000 0.0000 0.5000
0.0000 0.5000 0.8584
0.5000 0.0000 0.1416
0.5000 0.5000 0.5000
```

E_tot in eV per atom: -6.004
Formation enthalpy at 0 K in meV per atom: -231
SG: No. 115
Crystal system: tetragonal



(4)
A plane-wave DFT calculation with PBE-GGA was carried out for a geometry-optimized PaSnBi structure.

POSCAR file:
```
PaSnBi
1.0
5.4796 0.0000 0.0000
-2.7398 4.7455 0.0000
0.0000 0.0000 3.1599
Pa Sn Bi
1 1 1
direct
0.0000 0.0000 0.0000
0.6667 0.3333 0.5000
0.3333 0.6667 0.5000
```

E_tot in eV per atom: -5.773
Formation enthalpy at 0 K in meV per atom: 20
Distance to the lowest polymorph of the same formula in meV per atom: 287
SG: No. 187
Crystal system: hexagonal



Magnetic moment: 0.00 0.00 0.00 0.15 (μB per atom)